1.
A plane-wave DFT calculation with PBE was carried out for a relaxed Ba2LiHSe crystal.

Properties
The size of the total moment comes out at 0.00 μB/f.u. The total DFT energy (no corrections) comes out at -3.2582 eV per atom.

Structure (CIF):
```
data_Ba2LiHSe
_chemical_formula_sum 'Ba2 Li1 H1 Se1'
_space_group_name_H-M_alt 'P 1'
_space_group_IT_number 1
_cell_length_a 5.583
_cell_length_b 5.583
_cell_length_c 4.150
_cell_angle_alpha 90.00
_cell_angle_beta 90.00
_cell_angle_gamma 90.00
loop_
_space_group_symop_operation_xyz
'x,y,z'
loop_
_atom_site_label
_atom_site_fract_x
_atom_site_fract_y
_atom_site_fract_z
H1 0.000 0.000 0.000
Ba1 0.000 0.500 0.000
Ba2 0.500 0.000 0.000
Se1 0.500 0.500 0.500
Li1 0.000 0.000 0.500
```

2.
A plane-wave DFT calculation with PBE was carried out for a relaxed RbWSe3 crystal.

Properties
Its excess energy over the best structure of this formula in the dataset is 0.123 eV per atom. The size of the total moment comes out at 0.00 μB/f.u. For the formation energy from raw total energies, the calculation gives -0.345 eV/atom. The total DFT energy (no corrections) comes out at -5.2199 eV per atom.

Structure (CIF):
```
data_RbWSe3
_chemical_formula_sum 'Rb1 W1 Se3'
_space_group_name_H-M_alt 'P 1'
_space_group_IT_number 1
_cell_length_a 5.059
_cell_length_b 5.059
_cell_length_c 5.059
_cell_angle_alpha 90.00
_cell_angle_beta 90.00
_cell_angle_gamma 90.00
loop_
_space_group_symop_operation_xyz
'x,y,z'
loop_
_atom_site_label
_atom_site_fract_x
_atom_site_fract_y
_atom_site_fract_z
Se1 0.000 0.500 0.000
Se2 0.000 0.000 0.500
Se3 0.500 0.000 0.000
Rb1 0.500 0.500 0.500
W1 0.000 0.000 0.000
```

3.
A plane-wave DFT calculation with PBE was carried out for a relaxed BeSbH crystal.

Properties
Its excess energy over the best structure of this formula in the dataset is 0.114 eV per atom. The size of the total moment comes out at 0.00 μB/f.u. The total DFT energy (no corrections) comes out at -3.5923 eV per atom.

Structure (CIF):
```
data_BeSbH
_chemical_formula_sum 'Be6 Sb6 H6'
_space_group_name_H-M_alt 'P 1'
_space_group_IT_number 1
_cell_length_a 4.713
_cell_length_b 7.747
_cell_length_c 9.514
_cell_angle_alpha 86.95
_cell_angle_beta 75.66
_cell_angle_gamma 72.29
loop_
_space_group_symop_operation_xyz
'x,y,z'
loop_
_atom_site_label
_atom_site_fract_x
_atom_site_fract_y
_atom_site_fract_z
Sb1 0.503 0.894 0.217
Sb2 0.326 0.685 0.033
Sb3 0.055 0.812 0.451
Sb4 0.385 0.394 0.717
Sb5 0.956 0.185 0.533
Sb6 0.682 0.312 0.951
H1 0.780 0.533 0.334
H2 0.126 0.307 0.178
H3 0.389 0.807 0.678
H4 0.602 0.292 0.281
H5 0.826 0.792 0.781
H6 0.352 0.033 0.834
Be1 0.928 0.664 0.262
Be2 0.436 0.221 0.190
Be3 0.153 0.721 0.690
Be4 0.876 0.342 0.304
Be5 0.478 0.842 0.804
Be6 0.146 0.164 0.762
```

4.
A plane-wave DFT calculation with PBE was carried out for a relaxed Np5Te7 crystal.

Properties
The size of the total moment comes out at 20.98 μB/f.u. For the formation energy from raw total energies, the calculation gives -0.619 eV/atom. The total DFT energy (no corrections) comes out at -7.8437 eV per atom.

Structure (CIF):
```
data_Np5Te7
_chemical_formula_sum 'Np5 Te7'
_space_group_name_H-M_alt 'P 1'
_space_group_IT_number 1
_cell_length_a 4.282
_cell_length_b 7.470
_cell_length_c 13.548
_cell_angle_alpha 71.25
_cell_angle_beta 80.91
_cell_angle_gamma 73.35
loop_
_space_group_symop_operation_xyz
'x,y,z'
loop_
_atom_site_label
_atom_site_fract_x
_atom_site_fract_y
_atom_site_fract_z
Np1 0.877 0.818 0.428
Np2 0.123 0.182 0.572
Np3 0.697 0.421 0.186
Np4 0.303 0.579 0.814
Np5 0.000 0.000 0.000
Te1 0.740 0.864 0.656
Te2 0.260 0.136 0.344
Te3 0.032 0.717 0.219
Te4 0.968 0.283 0.781
Te5 0.341 0.268 0.051
Te6 0.500 0.500 0.500
Te7 0.659 0.732 0.949
```

5.
A plane-wave DFT calculation with PBE was carried out for a relaxed TlRu2Se crystal.

Properties
Its excess energy over the best structure of this formula in the dataset is 0.082 eV per atom. The size of the total moment comes out at 0.00 μB/f.u. For the formation energy from raw total energies, the calculation gives 0.367 eV/atom. The total DFT energy (no corrections) comes out at -5.7340 eV per atom.

Structure (CIF):
```
data_TlRu2Se
_chemical_formula_sum 'Tl1 Ru2 Se1'
_space_group_name_H-M_alt 'P 1'
_space_group_IT_number 1
_cell_length_a 4.604
_cell_length_b 4.604
_cell_length_c 5.937
_cell_angle_alpha 80.02
_cell_angle_beta 80.02
_cell_angle_gamma 38.62
loop_
_space_group_symop_operation_xyz
'x,y,z'
loop_
_atom_site_label
_atom_site_fract_x
_atom_site_fract_y
_atom_site_fract_z
Ru1 0.027 0.027 0.955
Ru2 0.748 0.748 0.662
Se1 0.467 0.467 0.664
Tl1 0.258 0.258 0.218
```

6.
A plane-wave DFT calculation with PBE was carried out for a relaxed TaSi4 crystal.

Properties
Its excess energy over the best structure of this formula in the dataset is 0.284 eV per atom. The size of the total moment comes out at 0.00 μB/f.u. For the formation energy from raw total energies, the calculation gives 0.305 eV/atom. The total DFT energy (no corrections) comes out at -6.4040 eV per atom.

Structure (CIF):
```
data_TaSi4
_chemical_formula_sum 'Ta1 Si4'
_space_group_name_H-M_alt 'P 1'
_space_group_IT_number 1
_cell_length_a 6.907
_cell_length_b 6.907
_cell_length_c 6.907
_cell_angle_alpha 151.17
_cell_angle_beta 151.17
_cell_angle_gamma 41.23
loop_
_space_group_symop_operation_xyz
'x,y,z'
loop_
_atom_site_label
_atom_site_fract_x
_atom_site_fract_y
_atom_site_fract_z
Ta1 0.000 0.000 0.000
Si1 0.750 0.250 0.500
Si2 0.250 0.750 0.500
Si3 0.595 0.595 0.000
Si4 0.405 0.405 0.000
```

7.
A plane-wave DFT calculation with PBE was carried out for a relaxed Hf4SbSe crystal.

Properties
The size of the total moment comes out at 0.00 μB/f.u. For the formation energy from raw total energies, the calculation gives -0.264 eV/atom. The total DFT energy (no corrections) comes out at -8.1677 eV per atom.

Structure (CIF):
```
data_Hf4SbSe
_chemical_formula_sum 'Hf8 Sb2 Se2'
_space_group_name_H-M_alt 'P 1'
_space_group_IT_number 1
_cell_length_a 6.002
_cell_length_b 6.460
_cell_length_c 7.794
_cell_angle_alpha 103.29
_cell_angle_beta 112.67
_cell_angle_gamma 90.01
loop_
_space_group_symop_operation_xyz
'x,y,z'
loop_
_atom_site_label
_atom_site_fract_x
_atom_site_fract_y
_atom_site_fract_z
Hf1 0.497 0.049 0.828
Hf2 0.667 0.452 0.172
Hf3 0.503 0.951 0.172
Hf4 0.333 0.548 0.828
Hf5 0.942 0.888 0.648
Hf6 0.294 0.612 0.352
Hf7 0.058 0.112 0.352
Hf8 0.706 0.388 0.648
Sb1 0.868 0.750 0.000
Sb2 0.132 0.250 0.000
Se1 0.500 0.000 0.500
Se2 0.000 0.500 0.500
```

8.
A plane-wave DFT calculation with PBE was carried out for a relaxed La2MgScTe5 crystal.

Properties
The size of the total moment comes out at 0.00 μB/f.u. For the formation energy from raw total energies, the calculation gives -1.306 eV/atom. The total DFT energy (no corrections) comes out at -5.0269 eV per atom.

Structure (CIF):
```
data_La2MgScTe5
_chemical_formula_sum 'La4 Mg2 Sc2 Te10'
_space_group_name_H-M_alt 'P 1'
_space_group_IT_number 1
_cell_length_a 4.389
_cell_length_b 9.764
_cell_length_c 13.372
_cell_angle_alpha 90.00
_cell_angle_beta 90.00
_cell_angle_gamma 102.99
loop_
_space_group_symop_operation_xyz
'x,y,z'
loop_
_atom_site_label
_atom_site_fract_x
_atom_site_fract_y
_atom_site_fract_z
La1 0.867 0.735 0.805
La2 0.114 0.228 0.685
La3 0.133 0.265 0.305
La4 0.886 0.772 0.185
Mg1 0.560 0.121 0.954
Mg2 0.440 0.879 0.454
Sc1 0.797 0.594 0.515
Sc2 0.203 0.406 0.015
Te1 0.358 0.716 0.000
Te2 0.694 0.387 0.856
Te3 0.497 0.994 0.774
Te4 0.285 0.570 0.663
Te5 0.948 0.896 0.572
Te6 0.642 0.284 0.500
Te7 0.306 0.613 0.356
Te8 0.503 0.006 0.274
Te9 0.715 0.430 0.163
Te10 0.052 0.104 0.072
```

9.
A plane-wave DFT calculation with PBE was carried out for a relaxed LiInP2S crystal.

Properties
Its excess energy over the best structure of this formula in the dataset is 0.000 eV per atom. The size of the total moment comes out at 0.00 μB/f.u. For the formation energy from raw total energies, the calculation gives 0.560 eV/atom. The total DFT energy (no corrections) comes out at -3.3596 eV per atom.

Structure (CIF):
```
data_LiInP2S
_chemical_formula_sum 'Li1 In1 P2 S1'
_space_group_name_H-M_alt 'P 1'
_space_group_IT_number 1
_cell_length_a 4.598
_cell_length_b 4.598
_cell_length_c 4.439
_cell_angle_alpha 90.00
_cell_angle_beta 90.00
_cell_angle_gamma 90.00
loop_
_space_group_symop_operation_xyz
'x,y,z'
loop_
_atom_site_label
_atom_site_fract_x
_atom_site_fract_y
_atom_site_fract_z
P1 0.000 0.500 0.000
P2 0.500 0.000 0.000
S1 0.000 0.000 0.500
Li1 0.000 0.000 0.000
In1 0.500 0.500 0.500
```

10.
A plane-wave DFT calculation with PBE was carried out for a relaxed AlTe2NF crystal.

Properties
Its excess energy over the best structure of this formula in the dataset is 0.768 eV per atom. The size of the total moment comes out at 2.62 μB/f.u. For the formation energy from raw total energies, the calculation gives 0.916 eV/atom. The total DFT energy (no corrections) comes out at -3.1290 eV per atom.

Structure (CIF):
```
data_AlTe2NF
_chemical_formula_sum 'Al1 Te2 N1 F1'
_space_group_name_H-M_alt 'P 1'
_space_group_IT_number 1
_cell_length_a 4.809
_cell_length_b 4.809
_cell_length_c 4.794
_cell_angle_alpha 90.00
_cell_angle_beta 90.00
_cell_angle_gamma 90.00
loop_
_space_group_symop_operation_xyz
'x,y,z'
loop_
_atom_site_label
_atom_site_fract_x
_atom_site_fract_y
_atom_site_fract_z
N1 0.000 0.000 0.500
Te1 0.000 0.500 0.000
Te2 0.500 0.000 0.000
Al1 0.500 0.500 0.500
F1 0.000 0.000 0.000
```

11.
A plane-wave DFT calculation with PBE was carried out for a relaxed TbEuTl4 crystal.

Properties
Its formation energy is -118 meV/atom. The size of the total moment comes out at 7.77 μB/f.u. The total DFT energy (no corrections) comes out at -4.1798 eV per atom.

Structure (CIF):
```
data_TbEuTl4
_chemical_formula_sum 'Tb1 Eu1 Tl4'
_space_group_name_H-M_alt 'P 1'
_space_group_IT_number 1
_cell_length_a 6.298
_cell_length_b 6.298
_cell_length_c 6.298
_cell_angle_alpha 60.00
_cell_angle_beta 60.00
_cell_angle_gamma 60.00
loop_
_space_group_symop_operation_xyz
'x,y,z'
loop_
_atom_site_label
_atom_site_fract_x
_atom_site_fract_y
_atom_site_fract_z
Eu1 0.000 0.000 0.000
Tl1 0.625 0.625 0.126
Tl2 0.625 0.126 0.625
Tl3 0.625 0.625 0.625
Tl4 0.126 0.625 0.625
Tb1 0.250 0.250 0.250
```

12.
A plane-wave DFT calculation with PBE was carried out for a relaxed PaIn2I7 crystal.

Properties
The size of the total moment comes out at 0.00 μB/f.u. For the formation energy from raw total energies, the calculation gives -0.703 eV/atom. The total DFT energy (no corrections) comes out at -3.2859 eV per atom.

Structure (CIF):
```
data_PaIn2I7
_chemical_formula_sum 'Pa2 In4 I14'
_space_group_name_H-M_alt 'P 1'
_space_group_IT_number 1
_cell_length_a 9.350
_cell_length_b 12.498
_cell_length_c 10.911
_cell_angle_alpha 85.81
_cell_angle_beta 64.63
_cell_angle_gamma 68.03
loop_
_space_group_symop_operation_xyz
'x,y,z'
loop_
_atom_site_label
_atom_site_fract_x
_atom_site_fract_y
_atom_site_fract_z
Pa1 0.949 0.250 0.750
Pa2 0.051 0.750 0.250
In1 0.698 0.969 0.643
In2 0.690 0.469 0.143
In3 0.310 0.531 0.857
In4 0.302 0.031 0.357
I1 0.723 0.507 0.832
I2 0.938 0.007 0.332
I3 0.223 0.813 0.968
I4 0.345 0.170 0.580
I5 0.621 0.250 0.750
I6 0.996 0.313 0.468
I7 0.095 0.330 0.920
I8 0.905 0.670 0.080
I9 0.004 0.687 0.532
I10 0.379 0.750 0.250
I11 0.655 0.830 0.420
I12 0.777 0.187 0.032
I13 0.062 0.993 0.668
I14 0.277 0.493 0.168
```